Entry 1:
Entry from Alexandria: a geometry-optimized Sc4GePtN structure (GGA-PBE).

The formation energy without anion corrections is -1.14 eV/atom.

The structure belongs to space group Cmcm (No. 63); the cell edges are 6.1275, 13.7436 and 6.0958 Å and the angles 90.00°, 90.00° and 90.00°. The asymmetric unit holds Sc at (0.0000, 0.0753, 0.2500), Sc at (0.0000, 0.4163, 0.2500), Sc at (0.2500, 0.2500, 0.0000), Ge at (0.0000, 0.3840, 0.7500), Pt at (0.0000, 0.1147, 0.7500) and N at (0.0000, 0.2519, 0.2500).

Entry 2:
Entry from Alexandria: a geometry-optimized GePtSeN2 structure (GGA-PBE).

The offset from the most stable computed form is 0.156 eV/atom. The formation energy without anion corrections is 1.23 eV/atom.

The structure belongs to space group P4/mmm (No. 123); the cell edges are 3.6027, 3.6027 and 7.7610 Å and the angles 90.00°, 90.00° and 90.00°. The asymmetric unit holds Ge at (0.0000, 0.0000, 0.0000), Pt at (0.5000, 0.5000, 0.5000), Se at (0.0000, 0.0000, 0.5000) and N at (0.0000, 0.5000, 0.0000).